--- i ---
LaDySb2 (PBE, relaxed); spin magnetization = 0.00 μB per atom; N(E_F) = 0.58 states/eV/f.u.; V = 129.44 Å³ per cell
1.0
-0.188 -4.397 -1.005
0.934 1.315 4.216
-7.344 2.434 0.870
La Dy Sb
1 1 2
Cartesian
-3.205 1.874 2.543 La
-7.532 -1.963 -0.134 Dy
-5.465 -0.045 1.226 Sb
-1.134 -0.603 2.856 Sb

--- ii ---
LaDySb2 (PBE, relaxed); spin magnetization = 0.00 μB per atom; N(E_F) = 0.38 states/eV/f.u.; V = 132.42 Å³ per cell
1.0
-0.091 -1.544 -4.197
-0.368 -4.392 -0.760
-7.768 -1.328 -1.726
La Dy Sb
1 1 2
Cartesian
-8.021 -5.290 -5.030 La
-4.157 -3.628 -3.342 Dy
-5.800 -1.497 -1.707 Sb
-2.130 -1.810 -1.671 Sb

Most stable: i

--- i ---
La4DySc (PBE, relaxed); spin magnetization = 0.00 μB per atom; N(E_F) = 14.35 states/eV/f.u.; V = 203.42 Å³ per cell
1.0
5.946 0.000 0.000
2.973 5.150 0.000
2.973 1.717 6.643
La Dy Sc
4 1 1
Cartesian
5.946 3.433 0.109 La
5.946 3.433 6.534 La
2.973 1.717 3.232 La
8.920 5.150 3.411 La
0.000 0.000 0.000 Dy
5.946 3.433 3.321 Sc

--- ii ---
La4DySc (PBE, relaxed); spin magnetization = 0.00 μB per atom; N(E_F) = 12.00 states/eV/f.u.; V = 202.79 Å³ per cell
1.0
7.668 1.813 1.172
4.877 6.189 1.172
-0.681 -0.434 5.124
La Dy Sc
4 1 1
Cartesian
3.534 2.254 5.912 La
8.330 5.313 1.556 La
10.171 6.487 4.526 La
1.693 1.080 2.942 La
5.932 3.784 3.734 Dy
0.000 0.000 0.000 Sc

Most stable: ii

--- i ---
LaDy6Sc2 (PBE, relaxed); spin magnetization = 0.00 μB per atom; N(E_F) = 14.04 states/eV/f.u.; V = 554.88 Å³ per cell
1.0
6.362 0.105 -0.968
-1.682 9.169 -1.633
0.158 -0.017 9.463
La Dy Sc
2 12 4
Cartesian
0.080 8.339 -0.841 La
4.758 0.918 7.703 La
2.813 3.357 5.888 Dy
5.898 2.497 4.665 Dy
2.025 5.900 0.974 Dy
-1.060 6.761 2.198 Dy
2.924 8.432 3.133 Dy
4.445 4.130 -0.681 Dy
1.915 0.825 3.730 Dy
0.394 5.128 7.544 Dy
1.527 2.438 -0.218 Dy
-0.254 8.684 5.248 Dy
3.311 6.819 7.080 Dy
5.092 0.574 1.614 Dy
0.295 3.552 2.643 Sc
1.314 5.894 4.412 Sc
4.543 5.705 4.220 Sc
3.525 3.364 2.450 Sc

--- ii ---
LaDy6Sc2 (PBE, relaxed); spin magnetization = 0.00 μB per atom; N(E_F) = 13.37 states/eV/f.u.; V = 273.53 Å³ per cell
1.0
3.514 0.000 0.000
1.757 7.498 1.275
1.757 3.319 10.945
La Dy Sc
1 6 2
Cartesian
0.000 0.000 0.000 La
3.514 4.467 1.953 Dy
3.514 6.349 10.267 Dy
3.514 7.708 7.113 Dy
5.271 6.141 4.514 Dy
1.757 4.676 7.706 Dy
3.514 3.108 5.107 Dy
1.757 1.577 2.604 Sc
5.271 9.240 9.616 Sc

Most stable: ii

--- i ---
LaDy7Sc2 (PBE, relaxed); spin magnetization = 0.00 μB per atom; N(E_F) = 14.57 states/eV/f.u.; V = 373.97 Å³ per cell
1.0
-5.526 -0.649 -0.746
1.020 -8.698 0.018
-1.511 4.207 7.530
La Dy Sc
1 7 2
Cartesian
0.000 0.000 0.000 La
0.402 -5.546 1.853 Dy
-0.893 1.055 5.696 Dy
-3.163 0.447 1.920 Dy
-2.854 -5.587 4.882 Dy
-2.541 -2.726 0.073 Dy
-3.477 -2.414 6.729 Dy
-3.009 -2.570 3.401 Dy
-2.495 -5.192 1.874 Sc
-3.523 0.052 4.928 Sc

--- ii ---
LaDy7Sc2 (PBE, relaxed); spin magnetization = 0.00 μB per atom; N(E_F) = 17.54 states/eV/f.u.; V = 306.93 Å³ per cell
1.0
-2.036 4.515 2.028
-3.424 -5.059 -6.308
-2.325 -1.850 8.850
La Dy Sc
1 7 2
Cartesian
0.000 0.000 0.000 La
-6.141 -0.612 2.253 Dy
-1.644 -1.782 2.317 Dy
-4.468 -3.524 3.355 Dy
-3.317 1.131 1.215 Dy
-3.970 -3.654 -2.921 Dy
-3.815 1.261 7.491 Dy
-2.730 -0.272 -2.140 Dy
-4.338 -2.016 0.126 Sc
-3.447 -0.378 4.444 Sc

Most stable: ii

--- i ---
LaDy4Sc2 (PBE, relaxed); spin magnetization = 0.00 μB per atom; N(E_F) = 8.91 states/eV/f.u.; V = 244.68 Å³ per cell
1.0
-2.436 -3.805 -3.271
3.178 -3.984 2.268
-5.846 2.663 6.011
La Dy Sc
1 4 2
Cartesian
0.000 0.000 0.000 La
-3.037 -4.661 2.928 Dy
-2.067 -0.465 2.080 Dy
1.589 -1.992 1.134 Dy
-1.218 -1.903 -1.635 Dy
-4.337 -0.975 4.365 Sc
-0.767 -4.150 0.644 Sc

--- ii ---
LaDy4Sc2 (PBE, relaxed); spin magnetization = 0.00 μB per atom; N(E_F) = 11.36 states/eV/f.u.; V = 422.16 Å³ per cell
1.0
6.478 0.419 -2.599
-3.198 6.743 -2.251
-0.027 0.347 9.211
La Dy Sc
2 8 4
Cartesian
-0.975 4.952 2.164 La
3.186 7.372 3.429 La
3.643 1.295 3.672 Dy
1.801 4.182 4.220 Dy
0.880 2.003 1.676 Dy
4.097 2.245 0.361 Dy
-1.427 3.965 5.562 Dy
2.751 6.051 -2.392 Dy
1.344 3.003 -1.642 Dy
-0.036 7.168 4.800 Dy
2.259 5.163 0.871 Sc
0.375 1.121 4.968 Sc
4.581 3.188 -2.970 Sc
-0.477 5.841 -1.130 Sc

Most stable: ii

--- i ---
LaDySc2 (PBE, relaxed); spin magnetization = 0.00 μB per atom; N(E_F) = 5.88 states/eV/f.u.; V = 116.90 Å³ per cell
1.0
-0.516 1.520 3.569
2.379 -2.719 1.502
5.977 4.620 -1.103
Sc La Dy
2 1 1
Cartesian
4.552 3.519 -0.840 Sc
1.424 1.101 -0.263 Sc
3.920 1.710 1.984 La
0.932 -0.600 2.535 Dy

--- ii ---
LaDySc2 (PBE, relaxed); spin magnetization = 0.00 μB per atom; N(E_F) = 5.89 states/eV/f.u.; V = 115.98 Å³ per cell
1.0
-0.135 4.427 -0.492
-4.620 -0.378 -2.131
-2.159 0.446 4.601
Sc La Dy
2 1 1
Cartesian
-1.079 0.223 2.300 Sc
-2.310 -0.189 -1.065 Sc
-0.067 2.213 -0.246 La
-3.457 2.247 0.989 Dy

Most stable: ii

--- i ---
LaDySc2 (PBE, relaxed); spin magnetization = 0.00 μB per atom; N(E_F) = 6.33 states/eV/f.u.; V = 115.75 Å³ per cell
1.0
0.407 0.533 -3.431
-2.960 -3.664 -0.920
-5.371 4.329 0.038
La Dy Sc
1 1 2
Cartesian
-5.720 1.850 -2.284 La
-0.520 0.253 -0.138 Dy
-3.105 -0.258 -2.303 Sc
-3.052 2.293 -0.118 Sc

--- ii ---
LaDySc2 (PBE, relaxed); spin magnetization = 0.00 μB per atom; N(E_F) = 6.90 states/eV/f.u.; V = 115.66 Å³ per cell
1.0
-3.273 -0.753 0.930
-1.519 -2.909 -1.172
2.155 -6.711 8.679
La Dy Sc
1 1 2
Cartesian
-3.193 -2.444 -0.156 La
-1.320 -5.184 4.215 Dy
1.199 -5.312 6.447 Sc
-0.642 -2.619 2.150 Sc

Most stable: ii

--- i ---
LaDy2Sc (PBE, relaxed); spin magnetization = 0.00 μB per atom; N(E_F) = 6.50 states/eV/f.u.; V = 123.54 Å³ per cell
1.0
-3.358 0.356 1.075
-0.763 -0.009 3.460
-0.076 11.398 1.828
La Dy Sc
1 2 1
Cartesian
-2.745 0.249 3.024 La
-0.420 8.405 1.744 Dy
-1.030 3.105 1.596 Dy
-2.100 5.858 3.181 Sc

--- ii ---
LaDy2Sc (PBE, relaxed); spin magnetization = 0.00 μB per atom; N(E_F) = 5.52 states/eV/f.u.; V = 123.62 Å³ per cell
1.0
3.533 0.000 0.000
1.766 3.059 0.000
1.766 1.020 11.439
Sc La Dy
1 1 2
Cartesian
0.000 0.000 0.000 Sc
3.533 2.039 5.719 La
5.299 3.059 8.749 Dy
1.766 1.020 2.689 Dy

Most stable: i